No. 1
An optimized crystal structure of Sc2CuBC. Source: the Alexandria database, functional PBEsol.

Properties
The total energy is -7.12 eV/atom. The value obtained for the density of states at the Fermi level is 2.8 states/eV/f.u. For the formation energy, the calculation gives -0.276 eV/atom. The symmetry is P4/mmm.

```
Sc2CuBC
1.0
-0.0629 -1.5650 2.5701
3.8326 -2.2475 -1.2748
2.5821 3.2461 2.0398
Sc C B Cu
2 1 1 1
Direct
0.0000 0.0000 0.5000
0.0000 0.5000 0.0000
0.0000 0.0000 0.0000
0.5000 0.0000 0.0000
0.5000 0.5000 0.5000
```


No. 2
An optimized crystal structure of Dy2B4C. Source: the Alexandria database, functional PBEsol.

Properties
The total energy is -7.44 eV/atom. The value obtained for the density of states at the Fermi level is 1.6 states/eV/f.u. For the formation energy, the calculation gives -0.630 eV/atom. The symmetry is Immm.

```
Dy2B4C
1.0
3.2458 0.0000 0.0000
1.6229 4.9598 -0.0182
1.6229 0.6718 4.9142
C B Dy
1 4 2
Direct
0.5000 0.0000 0.0000
0.0000 0.3647 0.6353
0.5000 0.7722 0.2278
0.0000 0.6353 0.3647
0.5000 0.2278 0.7722
0.7653 0.2347 0.2347
0.2347 0.7653 0.7653
```


No. 3
An optimized crystal structure of DyB2C2. Source: the Alexandria database, functional PBEsol.

Properties
The total energy is -8.16 eV/atom. The value obtained for the density of states at the Fermi level is 0.8 states/eV/f.u. For the formation energy, the calculation gives -0.504 eV/atom. The symmetry is P4/mbm.

```
DyB2C2
1.0
-3.0055 0.5367 -1.6931
1.0106 -4.1975 -3.1246
-2.5161 -3.1801 3.4583
C B Dy
4 4 2
Direct
0.5000 0.8376 0.6624
0.5000 0.3376 0.8376
0.5000 0.6624 0.1624
0.5000 0.1624 0.3376
0.5000 0.1361 0.6361
0.5000 0.6361 0.8639
0.5000 0.8639 0.3639
0.5000 0.3639 0.1361
0.0000 0.5000 0.5000
0.0000 0.0000 0.0000
```


No. 4
An optimized crystal structure of DyB2C. Source: the Alexandria database, functional PBEsol.

Properties
The total energy is -7.76 eV/atom. The value obtained for the density of states at the Fermi level is 0.8 states/eV/f.u. For the formation energy, the calculation gives -0.599 eV/atom. The symmetry is P4_2/mbc.

```
DyB2C
1.0
6.7605 0.0000 0.0000
0.0000 6.7605 0.0000
0.0000 0.0000 7.3479
Dy B C
8 16 8
Direct
0.3096 0.8096 0.7500
0.1904 0.3096 0.2500
0.8096 0.6904 0.2500
0.6904 0.1904 0.7500
0.6904 0.1904 0.2500
0.8096 0.6904 0.7500
0.1904 0.3096 0.7500
0.3096 0.8096 0.2500
0.1511 0.0342 0.0000
0.5342 0.6511 0.5000
0.8489 0.9658 0.0000
0.3489 0.5342 0.0000
0.6511 0.4658 0.0000
0.0342 0.8489 0.5000
0.9658 0.1511 0.5000
0.4658 0.3489 0.5000
0.0968 0.5943 0.0000
0.4057 0.0968 0.5000
0.5943 0.9032 0.5000
0.5968 0.9057 0.0000
0.4032 0.0943 0.0000
0.9032 0.4057 0.0000
0.0943 0.5968 0.5000
0.9057 0.4032 0.5000
0.1780 0.0408 0.5000
0.6780 0.4592 0.5000
0.3220 0.5408 0.5000
0.9592 0.1780 0.0000
0.0408 0.8220 0.0000
0.5408 0.6780 0.0000
0.8220 0.9592 0.5000
0.4592 0.3220 0.0000
```


No. 5
An optimized crystal structure of FeBC2F. Source: the Alexandria database, functional PBEsol.

Properties
The total energy is -4.55 eV/atom. The value obtained for the density of states at the Fermi level is 4.7 states/eV/f.u. The symmetry is P4/mmm.

```
FeBC2F
1.0
-3.0175 1.9000 -1.0641
-2.1466 -2.9764 0.7726
-0.4567 1.2403 3.5095
C B Fe F
2 1 1 1
Direct
0.0000 0.0000 0.5000
0.0000 0.5000 0.0000
0.5000 0.5000 0.5000
0.5000 0.0000 0.0000
0.0000 0.0000 0.0000
```


No. 6
An optimized crystal structure of Fe23B3C3. Source: the Alexandria database, functional PBEsol.

Properties
The total energy is -8.93 eV/atom. The value obtained for the density of states at the Fermi level is 32.6 states/eV/f.u. For the formation energy, the calculation gives -0.095 eV/atom. The symmetry is R3m.

```
Fe23B3C3
1.0
-3.9074 -5.8201 -2.1140
0.6169 -6.3361 3.6171
-5.5325 -2.4017 4.1513
Fe B C
23 3 3
Direct
0.3467 0.0005 0.0005
0.0005 0.0005 0.3467
0.0005 0.3467 0.0005
0.9953 0.6601 0.3412
0.3412 0.6601 0.9953
0.0007 0.6654 0.0007
0.9953 0.3412 0.6601
0.0007 0.0007 0.6654
0.3412 0.9953 0.6601
0.6654 0.0007 0.0007
0.6601 0.3412 0.9953
0.6601 0.9953 0.3412
0.3795 0.3795 0.3795
0.3838 0.8515 0.3838
0.3838 0.3838 0.8515
0.8515 0.3838 0.3838
0.6155 0.6155 0.6155
0.6201 0.1437 0.6201
0.6201 0.6201 0.1437
0.1437 0.6201 0.6201
0.0064 0.0064 0.0064
0.2486 0.2486 0.2486
0.7486 0.7486 0.7486
0.7245 0.2734 0.2734
0.2734 0.2734 0.7245
0.2734 0.7245 0.2734
0.2758 0.7217 0.7217
0.7217 0.7217 0.2758
0.7217 0.2758 0.7217
```


No. 7
An optimized crystal structure of GaBC3. Source: the Alexandria database, functional PBEsol.

Properties
The total energy is -4.26 eV/atom. The value obtained for the density of states at the Fermi level is 3.2 states/eV/f.u. For the formation energy, the calculation gives 3.598 eV/atom. The symmetry is Pm-3m.

```
GaBC3
1.0
3.9073 0.0000 0.0000
0.0000 3.9073 0.0000
0.0000 0.0000 3.9073
C B Ga
3 1 1
Direct
0.0000 0.5000 0.0000
0.0000 0.0000 0.5000
0.5000 0.0000 0.0000
0.5000 0.5000 0.5000
0.0000 0.0000 0.0000
```


No. 8
An optimized crystal structure of Gd2B3C2. Source: the Alexandria database, functional PBEsol.

Properties
The total energy is -10.42 eV/atom. The value obtained for the density of states at the Fermi level is 2.3 states/eV/f.u. For the formation energy, the calculation gives -0.527 eV/atom. The symmetry is Cmmm.

```
Gd2B3C2
1.0
-3.2647 -0.5308 0.7158
-0.7240 -0.3672 -3.5743
2.8214 -6.4434 0.0906
Gd B C
2 3 2
Direct
0.8656 0.0000 0.7313
0.1344 0.0000 0.2687
0.2820 0.5000 0.5640
0.7180 0.5000 0.4360
0.5000 0.5000 0.0000
0.3944 0.5000 0.7889
0.6056 0.5000 0.2111
```


Please write out number 4 again, unchanged.
An optimized crystal structure of DyB2C. Source: the Alexandria database, functional PBEsol.

Properties
The total energy is -7.76 eV/atom. The value obtained for the density of states at the Fermi level is 0.8 states/eV/f.u. For the formation energy, the calculation gives -0.599 eV/atom. The symmetry is P4_2/mbc.

```
DyB2C
1.0
6.7605 0.0000 0.0000
0.0000 6.7605 0.0000
0.0000 0.0000 7.3479
Dy B C
8 16 8
Direct
0.3096 0.8096 0.7500
0.1904 0.3096 0.2500
0.8096 0.6904 0.2500
0.6904 0.1904 0.7500
0.6904 0.1904 0.2500
0.8096 0.6904 0.7500
0.1904 0.3096 0.7500
0.3096 0.8096 0.2500
0.1511 0.0342 0.0000
0.5342 0.6511 0.5000
0.8489 0.9658 0.0000
0.3489 0.5342 0.0000
0.6511 0.4658 0.0000
0.0342 0.8489 0.5000
0.9658 0.1511 0.5000
0.4658 0.3489 0.5000
0.0968 0.5943 0.0000
0.4057 0.0968 0.5000
0.5943 0.9032 0.5000
0.5968 0.9057 0.0000
0.4032 0.0943 0.0000
0.9032 0.4057 0.0000
0.0943 0.5968 0.5000
0.9057 0.4032 0.5000
0.1780 0.0408 0.5000
0.6780 0.4592 0.5000
0.3220 0.5408 0.5000
0.9592 0.1780 0.0000
0.0408 0.8220 0.0000
0.5408 0.6780 0.0000
0.8220 0.9592 0.5000
0.4592 0.3220 0.0000
```